Record 1
A relaxed HoPu2Hg crystal. Source: Alexandria, functional PBE.

CIF file:
```
data_HoPu2Hg
_cell_length_a 4.430
_cell_length_b 4.430
_cell_length_c 5.282
_cell_angle_alpha 90.00
_cell_angle_beta 90.00
_cell_angle_gamma 90.00
_space_group_name_H-M_alt 'P 4/m m m'
_space_group_IT_number 123
_space_group_name_Hall '-P 4 2'
loop_
_atom_site_label
_atom_site_type_symbol
_atom_site_fract_x
_atom_site_fract_y
_atom_site_fract_z
Ho1 Ho 0.000 0.000 0.000
Pu1 Pu 0.000 0.500 0.500
Hg1 Hg 0.500 0.500 0.000
```

Summary:
energy above the most stable polymorph in this dataset: 0 meV/atom
E: -8.431 eV per atom
size of the total moment: 12.425 μB/f.u.


Record 2
A relaxed HoPuHg crystal. Source: Alexandria, functional PBE.

CIF file:
```
data_HoPuHg
_cell_length_a 3.519
_cell_length_b 3.519
_cell_length_c 13.226
_cell_angle_alpha 90.00
_cell_angle_beta 90.00
_cell_angle_gamma 90.00
_space_group_name_H-M_alt 'I 4 m m'
_space_group_IT_number 107
_space_group_name_Hall 'I 4 -2'
loop_
_atom_site_label
_atom_site_type_symbol
_atom_site_fract_x
_atom_site_fract_y
_atom_site_fract_z
Ho1 Ho 0.000 0.000 0.000
Pu1 Pu 0.000 0.000 0.688
Hg1 Hg 0.000 0.000 0.353
```

Summary:
energy above the most stable polymorph in this dataset: 0 meV/atom
E: -6.523 eV per atom
size of the total moment: 6.499 μB/f.u.


Record 3
A relaxed HoPu2Hg3 crystal. Source: Alexandria, functional PBE.

CIF file:
```
data_HoPu2Hg3
_cell_length_a 3.683
_cell_length_b 3.683
_cell_length_c 11.578
_cell_angle_alpha 90.00
_cell_angle_beta 90.00
_cell_angle_gamma 90.00
_space_group_name_H-M_alt 'P 4/m m m'
_space_group_IT_number 123
_space_group_name_Hall '-P 4 2'
loop_
_atom_site_label
_atom_site_type_symbol
_atom_site_fract_x
_atom_site_fract_y
_atom_site_fract_z
Ho1 Ho 0.000 0.000 0.000
Pu1 Pu 0.000 0.000 0.329
Hg1 Hg 0.500 0.500 0.156
Hg2 Hg 0.500 0.500 0.500
```

Summary:
E: -5.910 eV per atom
size of the total moment: 11.766 μB/f.u.


Record 4
A relaxed Ho2PuHg8 crystal. Source: Alexandria, functional PBE.

CIF file:
```
data_Ho2PuHg8
_cell_length_a 5.137
_cell_length_b 7.776
_cell_length_c 13.891
_cell_angle_alpha 90.00
_cell_angle_beta 90.00
_cell_angle_gamma 90.00
_space_group_name_H-M_alt 'I m m m'
_space_group_IT_number 71
_space_group_name_Hall '-I 2 2'
loop_
_atom_site_label
_atom_site_type_symbol
_atom_site_fract_x
_atom_site_fract_y
_atom_site_fract_z
Ho1 Ho 0.000 0.000 0.202
Pu1 Pu 0.000 0.000 0.500
Hg1 Hg 0.000 0.202 0.000
Hg2 Hg 0.000 0.299 0.354
Hg3 Hg 0.000 0.500 0.153
```

Summary:
E: -2.565 eV per atom
size of the total moment: 5.892 μB/f.u.